Ce4HgIr2, optimized geometry, DFT GGA-PBE; formation enthalpy at 0 K = -0.52 eV/atom; DOS(E_F) = 37.8 states/eV/cell; magnetization = 4.839 μB/cell; total energy = -90.79 eV for the cell shown
1.0
0.000 6.386 4.341
6.384 0.000 4.341
6.384 6.386 0.000
Ce Hg Ir
8 2 4
Direct
0.072 0.928 0.175
0.075 0.425 0.178
0.163 0.512 0.732
0.425 0.075 0.322
0.512 0.163 0.592
0.518 0.658 0.087
0.658 0.518 0.738
0.928 0.072 0.825
0.669 0.669 0.331
0.919 0.919 0.581
0.154 0.434 0.455
0.293 0.795 0.816
0.434 0.154 0.957
0.795 0.293 0.096